First-principles (PBE-GGA) data for a relaxed LaDy4Y crystal, as listed in Alexandria.

Properties
Formation energy from the elements   22.5 meV per atom
SG   No. 12

a b c (Å): 3.5861 6.1859 17.5748
angles (deg): 90.04 90.01 90.01
Fractional coordinates of all 12 atoms:
La1 0.5000 0.5000 0.5000
La2 0.0000 0.0000 0.0000
Dy1 0.4989 0.1662 0.3322
Dy2 0.9989 0.3338 0.1679
Dy3 0.5011 0.8338 0.6678
Dy4 0.0011 0.6662 0.8321
Dy5 0.9989 0.6660 0.3307
Dy6 0.4989 0.8340 0.1693
Dy7 0.0011 0.3340 0.6693
Dy8 0.5011 0.1660 0.8307
Y1 0.0000 0.0000 0.5000
Y2 0.5000 0.5000 0.0000

=====

First-principles (PBE-GGA) data for a relaxed LaDy4Y5 crystal, as listed in Alexandria.

Properties
Formation energy from the elements   302.2 meV per atom
SG   No. 79

a b c (Å): 6.3151 7.9225 7.9225
angles (deg): 80.86 66.51 66.51
Fractional coordinates of all 10 atoms:
La1 0.2227 0.0000 0.0000
Dy1 0.4027 0.4042 0.6987
Dy2 0.8070 0.6987 0.5958
Dy3 0.1015 0.3013 0.4042
Dy4 0.5057 0.5958 0.3013
Y1 0.8015 0.3816 0.9116
Y2 0.1832 0.9116 0.6184
Y3 0.7131 0.0884 0.3816
Y4 0.0947 0.6184 0.0884
Y5 0.6782 0.0000 0.0000

=====

First-principles (PBE-GGA) data for a relaxed La7DyY2 crystal, as listed in Alexandria.

Properties
Formation energy from the elements   146.2 meV per atom
SG   No. 65

a b c (Å): 3.5221 15.1499 15.1499
angles (deg): 153.99 90.00 90.00
Fractional coordinates of all 10 atoms:
La1 0.0000 0.8084 0.1915
La2 0.0000 0.1916 0.8085
La3 0.5000 0.1401 0.3394
La4 0.5000 0.8599 0.6606
La5 0.5000 0.3394 0.1401
La6 0.5000 0.6606 0.8599
La7 0.5000 0.5000 0.5000
Dy1 0.0000 0.0000 0.0000
Y1 0.5000 0.7044 0.2956
Y2 0.5000 0.2956 0.7044

=====

First-principles (PBE-GGA) data for a relaxed LaDy2Y4 crystal, as listed in Alexandria.

Properties
Formation energy from the elements   26.4 meV per atom
SG   No. 12

a b c (Å): 3.5644 9.5058 8.5772
angles (deg): 121.43 78.02 112.00
Fractional coordinates of all 7 atoms:
La1 0.0000 0.0000 0.0000
Dy1 0.3619 0.4316 0.1407
Dy2 0.6381 0.5684 0.8593
Y1 0.4100 0.7048 0.5877
Y2 0.8097 0.1669 0.7162
Y3 0.5900 0.2952 0.4123
Y4 0.1903 0.8331 0.2838

=====

First-principles (PBE-GGA) data for a relaxed La3DyY2 crystal, as listed in Alexandria.

Properties
Formation energy from the elements   45.5 meV per atom
SG   No. 11

a b c (Å): 3.7518 8.6555 12.9088
angles (deg): 90.19 90.00 90.00
Fractional coordinates of all 12 atoms:
La1 0.7500 0.0841 0.6130
La2 0.2500 0.9159 0.3870
La3 0.7500 0.6088 0.2547
La4 0.2500 0.3912 0.7453
La5 0.2500 0.3439 0.0557
La6 0.7500 0.6561 0.9443
Dy1 0.2500 0.8054 0.7459
Dy2 0.7500 0.1946 0.2541
Y1 0.2500 0.3510 0.4532
Y2 0.7500 0.6490 0.5468
Y3 0.7500 0.0757 0.8915
Y4 0.2500 0.9243 0.1085

=====

First-principles (PBE-GGA) data for a relaxed LaDy12Y6 crystal, as listed in Alexandria.

Properties
Formation energy from the elements   433.8 meV per atom
SG   No. 166

a b c (Å): 9.3848 9.3848 9.3848
angles (deg): 108.46 108.46 108.46
Fractional coordinates of all 19 atoms:
La1 0.0000 0.0000 0.0000
Dy1 0.8917 0.1083 0.5000
Dy2 0.3747 0.1651 0.3747
Dy3 0.3747 0.3747 0.1651
Dy4 0.8349 0.6253 0.6253
Dy5 0.6253 0.6253 0.8349
Dy6 0.6253 0.8349 0.6253
Dy7 0.5000 0.8917 0.1083
Dy8 0.1083 0.5000 0.8917
Dy9 0.1083 0.8917 0.5000
Dy10 0.5000 0.1083 0.8917
Dy11 0.8917 0.5000 0.1083
Dy12 0.1651 0.3747 0.3747
Y1 0.6787 0.2464 0.6787
Y2 0.6787 0.6787 0.2464
Y3 0.2464 0.6787 0.6787
Y4 0.3213 0.3213 0.7536
Y5 0.3213 0.7536 0.3213
Y6 0.7536 0.3213 0.3213

=====

First-principles (PBE-GGA) data for a relaxed LaDy5Y5 crystal, as listed in Alexandria.

Properties
Formation energy from the elements   288.7 meV per atom
SG   No. 187

a b c (Å): 6.1264 6.1264 11.5201
angles (deg): 90.00 90.00 120.00
Fractional coordinates of all 11 atoms:
La1 0.3333 0.6667 0.0000
Dy1 0.3359 0.1680 0.5000
Dy2 0.0000 0.0000 0.2653
Dy3 0.8320 0.6641 0.5000
Dy4 0.8320 0.1680 0.5000
Dy5 0.0000 0.0000 0.7347
Y1 0.6667 0.3333 0.1623
Y2 0.6667 0.3333 0.8377
Y3 0.3333 0.6667 0.3302
Y4 0.3333 0.6667 0.6698
Y5 0.0000 0.0000 0.0000

=====

First-principles (PBE-GGA) data for a relaxed LaDy4Y crystal, as listed in Alexandria.

Properties
Formation energy from the elements   253.9 meV per atom
SG   No. 216

a b c (Å): 6.6270 6.6270 6.6270
angles (deg): 60.00 60.00 60.00
Site moments in Bohr magnetons follow the coordinates.
Fractional coordinates of all 6 atoms:
Y1 0.0000 0.0000 0.0000  -0.10
La1 0.2500 0.2500 0.2500  -0.17
Dy1 0.6256 0.6256 0.1231  -0.06
Dy2 0.6256 0.1231 0.6256  -0.06
Dy3 0.6256 0.6256 0.6256  -0.06
Dy4 0.1231 0.6256 0.6256  -0.06

=====

First-principles (PBE-GGA) data for a relaxed La2Dy2Y7 crystal, as listed in Alexandria.

Properties
Formation energy from the elements   168.5 meV per atom
SG   No. 12

a b c (Å): 8.2080 6.9385 6.9385
angles (deg): 76.91 79.35 79.35
Fractional coordinates of all 11 atoms:
La1 0.5000 0.2018 0.7982
La2 0.5000 0.7982 0.2018
Dy1 0.8195 0.4455 0.4455
Dy2 0.1805 0.5545 0.5545
Y1 0.1789 0.0849 0.4852
Y2 0.8211 0.5148 0.9151
Y3 0.8211 0.9151 0.5148
Y4 0.1789 0.4852 0.0849
Y5 0.0000 0.0000 0.0000
Y6 0.4597 0.7265 0.7265
Y7 0.5403 0.2735 0.2735

=====

First-principles (PBE-GGA) data for a relaxed La3Dy3Y crystal, as listed in Alexandria.

Properties
Formation energy from the elements   132.8 meV per atom
SG   No. 148

a b c (Å): 8.3207 8.3207 8.3207
angles (deg): 69.50 69.50 69.50
Fractional coordinates of all 14 atoms:
La1 0.7288 0.1647 0.8736
La2 0.1647 0.8736 0.7288
La3 0.8736 0.7288 0.1647
La4 0.1264 0.2712 0.8353
La5 0.8353 0.1264 0.2712
La6 0.2712 0.8353 0.1264
Dy1 0.6889 0.5546 0.9752
Dy2 0.9752 0.6889 0.5546
Dy3 0.5546 0.9752 0.6889
Dy4 0.4454 0.0248 0.3111
Dy5 0.0248 0.3111 0.4454
Dy6 0.3111 0.4454 0.0248
Y1 0.4087 0.4087 0.4087
Y2 0.5913 0.5913 0.5913

=====

First-principles (PBE-GGA) data for a relaxed LaDy3Y4 crystal, as listed in Alexandria.

Properties
Formation energy from the elements   13.6 meV per atom
SG   No. 31

a b c (Å): 6.3202 7.3260 11.4048
angles (deg): 90.00 90.00 90.00
Fractional coordinates of all 16 atoms:
La1 0.1475 0.3769 0.0000
La2 0.6475 0.6231 0.5000
Dy1 0.6491 0.6265 0.0000
Dy2 0.9801 0.6255 0.2507
Dy3 0.4801 0.3745 0.2493
Dy4 0.1491 0.3735 0.5000
Dy5 0.4801 0.3745 0.7507
Dy6 0.9801 0.6255 0.7493
Y1 0.1457 0.8748 0.0000
Y2 0.6463 0.1239 0.0000
Y3 0.9832 0.1250 0.2522
Y4 0.4832 0.8750 0.2478
Y5 0.1463 0.8761 0.5000
Y6 0.6457 0.1252 0.5000
Y7 0.4832 0.8750 0.7522
Y8 0.9832 0.1250 0.7478

=====

First-principles (PBE-GGA) data for a relaxed La2DyY8 crystal, as listed in Alexandria.

Properties
Formation energy from the elements   159.0 meV per atom
SG   No. 12

a b c (Å): 5.9465 9.1031 9.2466
angles (deg): 60.51 75.06 58.43
Fractional coordinates of all 11 atoms:
La1 0.0000 0.3047 0.3906
La2 0.0000 0.6953 0.6094
Dy1 0.5000 0.0000 0.0000
Y1 0.8348 0.0987 0.2267
Y2 0.8348 0.3254 0.7733
Y3 0.2988 0.4211 0.0000
Y4 0.5000 0.7917 0.4167
Y5 0.5000 0.2083 0.5833
Y6 0.7012 0.5789 0.0000
Y7 0.1652 0.6746 0.2267
Y8 0.1652 0.9013 0.7733

=====

First-principles (PBE-GGA) data for a relaxed LaDy2Y crystal, as listed in Alexandria.

Properties
Formation energy from the elements   7.6 meV per atom
SG   No. 160

a b c (Å): 3.6257 3.6257 11.7981
angles (deg): 81.16 81.16 60.00
Fractional coordinates of all 4 atoms:
La1 0.6663 0.6663 0.0011
Dy1 0.0850 0.0850 0.7451
Dy2 0.2483 0.2483 0.2552
Y1 0.5005 0.5005 0.4986

=====

First-principles (PBE-GGA) data for a relaxed La9Dy3Y2 crystal, as listed in Alexandria.

Properties
Formation energy from the elements   308.0 meV per atom
SG   No. 176

a b c (Å): 10.8931 10.8931 9.9250
angles (deg): 90.00 90.00 120.00
Fractional coordinates of all 28 atoms:
La1 0.5002 0.3930 0.7500
La2 0.6684 0.6669 0.5667
La3 0.6684 0.6669 0.9333
La4 0.6070 0.1072 0.7500
La5 0.9985 0.3316 0.9333
La6 0.9985 0.3316 0.5667
La7 0.3331 0.0015 0.9333
La8 0.3331 0.0015 0.5667
La9 0.1072 0.5002 0.2500
La10 0.8928 0.4998 0.7500
La11 0.6669 0.9985 0.0667
La12 0.6669 0.9985 0.4333
La13 0.0015 0.6684 0.4333
La14 0.0015 0.6684 0.0667
La15 0.3930 0.8928 0.2500
La16 0.3316 0.3331 0.4333
La17 0.3316 0.3331 0.0667
La18 0.4998 0.6070 0.2500
Dy1 0.8296 0.8234 0.2500
Dy2 0.1766 0.0062 0.2500
Dy3 0.9938 0.1704 0.2500
Dy4 0.0062 0.8296 0.7500
Dy5 0.8234 0.9938 0.7500
Dy6 0.1704 0.1766 0.7500
Y1 0.6667 0.3333 0.4275
Y2 0.6667 0.3333 0.0725
Y3 0.3333 0.6667 0.9275
Y4 0.3333 0.6667 0.5725

=====

First-principles (PBE-GGA) data for a relaxed LaDy4Y2 crystal, as listed in Alexandria.

Properties
Formation energy from the elements   25.2 meV per atom
SG   No. 1

a b c (Å): 7.1621 8.0095 8.7702
angles (deg): 111.39 89.93 102.92
Fractional coordinates of all 14 atoms:
La1 0.2681 0.6950 0.4633
La2 0.8391 0.9813 0.8948
Dy1 0.6253 0.1287 0.6063
Dy2 0.4812 0.5510 0.7504
Dy3 0.4098 0.2654 0.3195
Dy4 0.9105 0.2667 0.3213
Dy5 0.9814 0.5499 0.7504
Dy6 0.0545 0.8396 0.1779
Dy7 0.1969 0.4115 0.0369
Dy8 0.3396 0.9832 0.8937
Y1 0.7669 0.6946 0.4631
Y2 0.1265 0.1301 0.6075
Y3 0.6968 0.4125 0.0360
Y4 0.5533 0.8405 0.1789

=====

First-principles (PBE-GGA) data for a relaxed La5Dy2Y3 crystal, as listed in Alexandria.

Properties
Formation energy from the elements   161.2 meV per atom
SG   No. 15

a b c (Å): 10.2756 10.2499 9.2087
angles (deg): 108.49 108.61 115.41
Fractional coordinates of all 20 atoms:
La1 0.2245 0.4745 0.9489
La2 0.7755 0.5255 0.0511
La3 0.9860 0.7360 0.4720
La4 0.4748 0.2248 0.4496
La5 0.0140 0.2640 0.5280
La6 0.5252 0.7752 0.5504
La7 0.8746 0.6341 0.7594
La8 0.1254 0.3659 0.2406
La9 0.3848 0.1252 0.7594
La10 0.6152 0.8748 0.2406
Dy1 0.9724 0.0362 0.7551
Dy2 0.0276 0.9638 0.2449
Dy3 0.2827 0.7188 0.7551
Dy4 0.7173 0.2812 0.2449
Y1 0.2677 0.0177 0.0353
Y2 0.7323 0.9823 0.9647
Y3 0.5295 0.4723 0.2489
Y4 0.4705 0.5277 0.7511
Y5 0.2195 0.7767 0.2489
Y6 0.7805 0.2233 0.7511

=====

First-principles (PBE-GGA) data for a relaxed LaDyYZn crystal, as listed in Alexandria.

Properties
Formation energy from the elements   -160.9 meV per atom
SG   No. 99

a b c (Å): 3.6064 3.6064 8.8630
angles (deg): 90.00 90.00 90.00
Fractional coordinates of all 4 atoms:
La1 0.0000 0.0000 0.0735
Dy1 0.5000 0.5000 0.3739
Y1 0.5000 0.5000 0.7678
Zn1 0.0000 0.0000 0.5695

=====

First-principles (PBE-GGA) data for a relaxed LaDy3Zn2 crystal, as listed in Alexandria.

Properties
Formation energy from the elements   -223.9 meV per atom
SG   No. 123

a b c (Å): 3.5826 3.5826 12.4337
angles (deg): 90.00 90.00 90.00
Fractional coordinates of all 6 atoms:
La1 0.5000 0.5000 0.5000
Dy1 0.0000 0.0000 0.0000
Dy2 0.0000 0.0000 0.7166
Dy3 0.0000 0.0000 0.2834
Zn1 0.5000 0.5000 0.8580
Zn2 0.5000 0.5000 0.1420

=====

First-principles (PBE-GGA) data for a relaxed LaDyZn4 crystal, as listed in Alexandria.

Properties
Formation energy from the elements   -348.5 meV per atom
SG   No. 71

a b c (Å): 4.5328 5.8294 5.8294
angles (deg): 78.08 67.12 67.12
Fractional coordinates of all 6 atoms:
La1 0.0000 0.0000 0.0000
Dy1 0.0000 0.5000 0.5000
Zn1 0.6664 0.5729 0.0943
Zn2 0.3336 0.9057 0.4271
Zn3 0.3336 0.4271 0.9057
Zn4 0.6664 0.0943 0.5729

=====

First-principles (PBE-GGA) data for a relaxed LaDy2Zn4 crystal, as listed in Alexandria.

Properties
Formation energy from the elements   -119.1 meV per atom
SG   No. 139

a b c (Å): 5.0144 5.0144 7.9979
angles (deg): 108.27 108.27 90.00
Fractional coordinates of all 7 atoms:
La1 0.0000 0.0000 0.0000
Dy1 0.7407 0.7407 0.4814
Dy2 0.2593 0.2593 0.5186
Zn1 0.3710 0.8710 0.7420
Zn2 0.8710 0.3710 0.7420
Zn3 0.6290 0.1290 0.2580
Zn4 0.1290 0.6290 0.2580

=====

First-principles (PBE-GGA) data for a relaxed LaDy5Zn6 crystal, as listed in Alexandria.

Properties
Formation energy from the elements   -327.0 meV per atom
SG   No. 65

a b c (Å): 5.0782 7.2162 8.0480
angles (deg): 90.00 71.61 90.00
Fractional coordinates of all 12 atoms:
Zn1 0.8285 0.7411 0.3430
Zn2 0.8285 0.2589 0.3430
Zn3 0.5000 0.2597 0.0000
Zn4 0.5000 0.7403 0.0000
Zn5 0.1715 0.7411 0.6570
Zn6 0.1715 0.2589 0.6570
Dy1 0.6640 0.5000 0.6719
Dy2 0.3316 0.0000 0.3368
Dy3 0.0000 0.5000 0.0000
Dy4 0.6684 0.0000 0.6632
Dy5 0.3360 0.5000 0.3281
La1 0.0000 0.0000 0.0000